Computed, not measured: a relaxed structure of GdV2Fe10N at the GGA-PBE level of DFT. Values from VASP.

The structure in Quantum ESPRESSO input format:
```
&SYSTEM
  ibrav = 0, nat = 14, ntyp = 4
/
ATOMIC_SPECIES
Fe 55.84 Fe.upf
Gd 157.25 Gd.upf
V 50.94 V.upf
N 14.01 N.upf
CELL_PARAMETERS angstrom
-2.384 4.270 4.287
2.384 -4.270 4.287
2.384 4.270 -4.287
ATOMIC_POSITIONS crystal
Fe 0.361 0.000 0.361
Fe 0.777 0.277 0.500
Fe 0.000 0.500 0.000
Gd 0.000 0.000 0.000
V 0.358 0.358 0.000
N 0.000 0.500 0.500
Fe 0.775 0.500 0.275
Fe 0.223 0.723 0.500
Fe 0.500 0.000 0.000
Fe 0.000 0.000 0.500
Fe 0.500 0.500 0.500
V 0.642 0.642 0.000
Fe 0.225 0.500 0.725
Fe 0.639 0.000 0.639
```

Values from the calculation:
* formation energy without anion corrections: -0.139 eV per atom
* N(E_F): 12.096 states/eV per cell
* space group: Immm